Record 1
An optimized crystal structure of Er2Fe2Co5Si. Source: the Alexandria database, functional GGA-PBE.

a = 3.1491 Å, b = 9.4659 Å, c = 9.4659 Å
α = 90.00°, β = 90.00°, γ = 90.00°
Sites, in units of the cell vectors:
Er (0.0000, 0.6739, 0.1739)
Er (0.0000, 0.3261, 0.8261)
Er (0.0000, 0.1739, 0.3261)
Er (0.0000, 0.8261, 0.6739)
Fe (0.0000, 0.1301, 0.6301)
Fe (0.0000, 0.8699, 0.3699)
Fe (0.0000, 0.6301, 0.8699)
Fe (0.0000, 0.3699, 0.1301)
Co (0.5000, 0.1929, 0.0561)
Co (0.5000, 0.8071, 0.9439)
Co (0.5000, 0.0561, 0.8071)
Co (0.5000, 0.6929, 0.4439)
Co (0.5000, 0.9439, 0.1929)
Co (0.5000, 0.3071, 0.5561)
Co (0.5000, 0.5561, 0.6929)
Co (0.5000, 0.4439, 0.3071)
Co (0.5000, 0.5000, 0.0000)
Co (0.5000, 0.0000, 0.5000)
Si (0.0000, 0.0000, 0.0000)
Si (0.0000, 0.5000, 0.5000)

Values from the calculation:
SG: P4/mbm, No. 127
Uncorrected formation energy: -0.112 eV/atom
Crystal system: tetragonal
N(E_F): 5.53 states/eV/f.u.

Record 2
An optimized crystal structure of ErFeCoSi2. Source: the Alexandria database, functional GGA-PBE.

a = 3.9090 Å, b = 3.9090 Å, c = 5.5132 Å
α = 110.76°, β = 110.76°, γ = 90.00°
Sites, in units of the cell vectors:
Er (0.0000, 0.0000, 0.0000)
Fe (0.2500, 0.7500, 0.5000)
Co (0.7500, 0.2500, 0.5000)
Si (0.6308, 0.6308, 0.2616)
Si (0.3692, 0.3692, 0.7384)

Values from the calculation:
SG: I-4m2, No. 119
Uncorrected formation energy: -0.774 eV/atom
Crystal system: tetragonal
N(E_F): 2.41 states/eV/f.u.

Record 3
An optimized crystal structure of SmErTi2Fe16Co6. Source: the Alexandria database, functional GGA-PBE.

a = 6.4175 Å, b = 6.4175 Å, c = 11.9511 Å
α = 89.98°, β = 89.98°, γ = 43.08°
Sites, in units of the cell vectors:
Sm (0.4978, 0.4978, 0.5023)
Er (0.9974, 0.9974, 0.0025)
Ti (0.6881, 0.6881, 0.3098)
Ti (0.1888, 0.1888, 0.8133)
Fe (0.6078, 0.6078, 0.1072)
Fe (0.1111, 0.1111, 0.6116)
Fe (0.8891, 0.8891, 0.3881)
Fe (0.3922, 0.3922, 0.8928)
Fe (0.1142, 0.1142, 0.3847)
Fe (0.6132, 0.6132, 0.8879)
Fe (0.3830, 0.3830, 0.1162)
Fe (0.8817, 0.8817, 0.6193)
Fe (0.2482, 0.7481, 0.2488)
Fe (0.7496, 0.2479, 0.7522)
Fe (0.7481, 0.2482, 0.2488)
Fe (0.2479, 0.7496, 0.7522)
Fe (0.9990, 0.5000, 0.5014)
Fe (0.4991, 0.9999, 0.0018)
Fe (0.5000, 0.9990, 0.5014)
Fe (0.9999, 0.4991, 0.0018)
Co (0.3185, 0.3185, 0.3205)
Co (0.8204, 0.8204, 0.8244)
Co (0.1766, 0.1766, 0.1785)
Co (0.6785, 0.6785, 0.6824)
Co (0.8248, 0.8248, 0.1737)
Co (0.3248, 0.3248, 0.6766)

Values from the calculation:
Energy relative to the elements: -93 meV per atom
SG: Cm, No. 8
Crystal system: monoclinic
N(E_F): 22.76 states/eV/f.u.

Record 4
An optimized crystal structure of ErTiFe8Co3. Source: the Alexandria database, functional GGA-PBE.

a = 6.3938 Å, b = 6.3938 Å, c = 6.3938 Å
α = 136.80°, β = 97.85°, γ = 97.73°
Sites, in units of the cell vectors:
Er (0.0049, 0.0049, 0.0000)
Ti (0.6231, 0.6231, 0.0000)
Fe (0.2336, 0.7336, 0.5000)
Fe (0.7744, 0.2744, 0.5000)
Fe (0.7842, 0.5000, 0.2842)
Fe (0.2157, 0.5000, 0.7158)
Fe (0.5011, 0.5026, 0.4994)
Fe (0.5011, 0.0017, 0.9984)
Fe (0.0032, 0.5026, 0.0016)
Fe (0.0032, 0.0017, 0.5006)
Co (0.3495, 0.3495, 0.0000)
Co (0.3603, 0.0030, 0.3573)
Co (0.6456, 0.0030, 0.6427)

Values from the calculation:
Energy relative to the elements: -109 meV per atom
SG: Imm2, No. 44
Crystal system: orthorhombic
N(E_F): 11.75 states/eV/f.u.

Record 5
An optimized crystal structure of Er2ZnFe2Co5. Source: the Alexandria database, functional GGA-PBE.

a = 3.6979 Å, b = 8.8243 Å, c = 8.8243 Å
α = 90.00°, β = 90.00°, γ = 90.00°
Sites, in units of the cell vectors:
Er (0.0000, 0.6837, 0.1837)
Er (0.0000, 0.3163, 0.8163)
Er (0.0000, 0.1837, 0.3163)
Er (0.0000, 0.8163, 0.6837)
Zn (0.0000, 0.0000, 0.0000)
Zn (0.0000, 0.5000, 0.5000)
Fe (0.0000, 0.1130, 0.6130)
Fe (0.0000, 0.8870, 0.3870)
Fe (0.0000, 0.6130, 0.8870)
Fe (0.0000, 0.3870, 0.1130)
Co (0.5000, 0.2070, 0.0577)
Co (0.5000, 0.7930, 0.9423)
Co (0.5000, 0.0577, 0.7930)
Co (0.5000, 0.7070, 0.4423)
Co (0.5000, 0.9423, 0.2070)
Co (0.5000, 0.2930, 0.5577)
Co (0.5000, 0.5577, 0.7070)
Co (0.5000, 0.4423, 0.2930)
Co (0.5000, 0.5000, 0.0000)
Co (0.5000, 0.0000, 0.5000)

Values from the calculation:
Energy relative to the elements: -17 meV per atom
SG: P4/mbm, No. 127
Crystal system: tetragonal
N(E_F): 8.25 states/eV/f.u.

Record 6
An optimized crystal structure of ErZrFeCo. Source: the Alexandria database, functional GGA-PBE.

a = 4.5724 Å, b = 4.5724 Å, c = 4.5724 Å
α = 60.00°, β = 60.00°, γ = 60.00°
Sites, in units of the cell vectors:
Co (0.5000, 0.5000, 0.5000)
Fe (0.0000, 0.0000, 0.0000)
Zr (0.2500, 0.2500, 0.2500)
Er (0.7500, 0.7500, 0.7500)

Values from the calculation:
Energy relative to the elements: -122 meV per atom
SG: F-43m, No. 216
Crystal system: cubic
N(E_F): 2.02 states/eV/f.u.

Record 7
An optimized crystal structure of Er2Ga3Co. Source: the Alexandria database, functional GGA-PBE.

a = 3.5705 Å, b = 4.2814 Å, c = 7.5289 Å
α = 90.00°, β = 90.00°, γ = 90.00°
Sites, in units of the cell vectors:
Er (0.0000, 0.5000, 0.0267)
Er (0.0000, 0.0000, 0.4826)
Ga (0.5000, 0.0000, 0.8354)
Ga (0.5000, 0.0000, 0.1752)
Ga (0.5000, 0.5000, 0.6530)
Co (0.5000, 0.5000, 0.3271)

Values from the calculation:
Energy relative to the elements: -551 meV per atom
SG: Pmm2, No. 25
Crystal system: orthorhombic
N(E_F): 4.13 states/eV/f.u.

Record 8
An optimized crystal structure of Er3Ga8Co3. Source: the Alexandria database, functional GGA-PBE.

a = 4.1101 Å, b = 7.9777 Å, c = 7.9777 Å
α = 74.15°, β = 75.07°, γ = 75.07°
Sites, in units of the cell vectors:
Er (0.5000, 0.5000, 0.5000)
Er (0.8296, 0.1704, 0.1704)
Er (0.1704, 0.8296, 0.8296)
Ga (0.6164, 0.0944, 0.6729)
Ga (0.3836, 0.9056, 0.3271)
Ga (0.6164, 0.6729, 0.0944)
Ga (0.3836, 0.3271, 0.9056)
Ga (0.8357, 0.7987, 0.5300)
Ga (0.1643, 0.2013, 0.4700)
Ga (0.8357, 0.5300, 0.7987)
Ga (0.1643, 0.4700, 0.2013)
Co (0.5000, 0.0000, 0.0000)
Co (0.0000, 0.7864, 0.2136)
Co (0.0000, 0.2136, 0.7864)

Values from the calculation:
Energy relative to the elements: -499 meV per atom
SG: Immm, No. 71
Crystal system: orthorhombic
N(E_F): 9.54 states/eV/f.u.

N(E_F) of number 2 (ErFeCoSi2)? 2.41 states/eV/f.u.

Which of these has the highest N(E_F)? SmErTi2Fe16Co6

Look up the N(E_F) of the third one. 22.76 states/eV/f.u.

Look up the N(E_F) of the first one. 5.53 states/eV/f.u.